# Pm8SmSc2 GGA-PBE relaxed
data_Pm8SmSc2
_symmetry_space_group_name_H-M 'C 1 2/m 1'
_symmetry_Int_Tables_number 12
_cell_length_a 16.638
_cell_length_b 8.377
_cell_length_c 5.516
_cell_angle_alpha 90.00
_cell_angle_beta 109.28
_cell_angle_gamma 90.00
loop_
_symmetry_equiv_pos_as_xyz
'x,y,z'
'-x,-y,-z'
'-x,y,-z'
'x,-y,z'
'x+1/2,y+1/2,z'
'-x+1/2,-y+1/2,-z'
'-x+1/2,y+1/2,-z'
'x+1/2,-y+1/2,z'
loop_
_atom_site_label
_atom_site_type_symbol
_atom_site_fract_x
_atom_site_fract_y
_atom_site_fract_z
_atom_site_occupancy
Pm1 Pm 0.000 0.199 0.000 1
Pm2 Pm 0.144 0.203 0.643 1
Pm3 Pm 0.162 0.500 0.162 1
Sm1 Sm 0.000 0.500 0.500 1
Sc1 Sc 0.200 0.000 0.200 1
# Formation energy   0.1222 eV/atom